# 1
This record from Alexandria via LeMat-Bulk describes crystalline SrCuSbPb at its relaxed geometry. The functional is PBE-GGA.

```
data_SrCuSbPb
_symmetry_space_group_name_H-M 'P 4/n m m'
_symmetry_Int_Tables_number 129
_cell_length_a 4.541
_cell_length_b 4.541
_cell_length_c 10.857
_cell_angle_alpha 90.00
_cell_angle_beta 90.00
_cell_angle_gamma 90.00
loop_
_symmetry_equiv_pos_as_xyz
'x,y,z'
'-x,-y,-z'
'-y+1/2,x,z'
'y+1/2,-x,-z'
'-x+1/2,-y+1/2,z'
'x+1/2,y+1/2,-z'
'y,-x+1/2,z'
'-y,x+1/2,-z'
'x+1/2,-y,-z'
'-x+1/2,y,z'
'-y,-x,-z'
'y,x,z'
'-x,y+1/2,-z'
'x,-y+1/2,z'
'y+1/2,x+1/2,-z'
'-y+1/2,-x+1/2,z'
loop_
_atom_site_label
_atom_site_type_symbol
_atom_site_fract_x
_atom_site_fract_y
_atom_site_fract_z
Sr1 Sr 0.250 0.250 0.226
Cu1 Cu 0.250 0.750 0.000
Sb1 Sb 0.250 0.250 0.867
Pb1 Pb 0.250 0.750 0.500
```

Calculated values
Spin magnetization = 0.00 Bohr magnetons per cell
Density of states at the Fermi level = 3.68 states/eV/f.u.
Calculated total energy = -3.7772 eV per atom
Formation energy without anion corrections = -0.375 eV per atom
Calculated density = 7.124 g/cm³



# 2
This record from Alexandria via LeMat-Bulk describes crystalline LaY2Fe at its relaxed geometry. The functional is PBE-GGA.

```
data_LaY2Fe
_symmetry_space_group_name_H-M 'C 1 2/m 1'
_symmetry_Int_Tables_number 12
_cell_length_a 6.802
_cell_length_b 8.709
_cell_length_c 3.676
_cell_angle_alpha 90.00
_cell_angle_beta 90.14
_cell_angle_gamma 90.00
loop_
_symmetry_equiv_pos_as_xyz
'x,y,z'
'-x,-y,-z'
'-x,y,-z'
'x,-y,z'
'x+1/2,y+1/2,z'
'-x+1/2,-y+1/2,-z'
'-x+1/2,y+1/2,-z'
'x+1/2,-y+1/2,z'
loop_
_atom_site_label
_atom_site_type_symbol
_atom_site_fract_x
_atom_site_fract_y
_atom_site_fract_z
La1 La 0.000 0.000 0.000
Y1 Y 0.250 0.250 0.500
Fe1 Fe 0.000 0.500 0.000
```

Calculated values
Spin magnetization = 4.30 Bohr magnetons per cell
Relative energy among the computed polymorphs = 303 meV per atom
Density of states at the Fermi level = 6.87 states/eV/f.u.
Calculated total energy = -6.1795 eV per atom
Calculated density = 5.682 g/cm³



# 3
This record from Alexandria via LeMat-Bulk describes crystalline KBaEu2 at its relaxed geometry. The functional is PBE-GGA.

```
data_KBaEu2
_symmetry_space_group_name_H-M 'R -3 m'
_symmetry_Int_Tables_number 166
_symmetry_space_group_name_Hall '-R 3 2"'
_cell_length_a 4.1701
_cell_length_b 4.1701
_cell_length_c 43.0991
_cell_angle_alpha 90.00
_cell_angle_beta 90.00
_cell_angle_gamma 120.00
loop_
_atom_site_label
_atom_site_type_symbol
_atom_site_fract_x
_atom_site_fract_y
_atom_site_fract_z
K1 K 0.0000 0.0000 0.0000
Ba1 Ba 0.0000 0.0000 0.5000
Eu1 Eu 0.0000 0.0000 0.2470
```

Calculated values
Spin magnetization = 45.61 Bohr magnetons per cell
Relative energy among the computed polymorphs = 0 meV per atom
Density of states at the Fermi level = 21.63 states/eV/f.u.
Calculated total energy = -5.7733 eV per atom
Calculated density = 3.687 g/cm³